Here is Mn3NbSe after structural relaxation from Alexandria. Energies are from PBE.

Cell lengths 4.741, 4.741, 4.741 Å; angles 90.00, 90.00, 90.00 degrees
Fractional positions:
Mn (0.000, 0.000, 0.500)
Mn (0.000, 0.500, 0.000)
Mn (0.500, 0.000, 0.000)
Nb (0.000, 0.000, 0.000)
Se (0.500, 0.500, 0.500)

Computed properties:
Energy above the lowest structure with this stoichiometry in meV per atom: 427
Raw total energy in eV/atom: -6.929
V in Å³ per cell: 106.6
M_tot in μB/cell: 8.34
Formation energy without anion corrections in eV per atom: 1.284